Material: Mg6TiCoO8
Method: DFT, GGA+U
State: optimized geometry

Cell and atoms, written as extended XYZ:
```
16
Lattice="4.2361 0.0000 0.0000 0.0000 4.2361 0.0000 0.0000 0.0000 8.6834" Properties=species:S:1:pos:R:3 pbc="T T T"
Mg 0.0000 0.0000 0.0000
Mg 0.0000 2.1180 2.1609
Mg 0.0000 2.1180 6.5225
Mg 2.1180 0.0000 2.1609
Mg 2.1180 0.0000 6.5225
Mg 2.1180 2.1180 0.0000
Ti 0.0000 0.0000 4.3417
Co 2.1180 2.1180 4.3417
O 0.0000 0.0000 2.1927
O 0.0000 0.0000 6.4907
O 0.0000 2.1180 0.0000
O 0.0000 2.1180 4.3417
O 2.1180 0.0000 0.0000
O 2.1180 0.0000 4.3417
O 2.1180 2.1180 2.0711
O 2.1180 2.1180 6.6123
```

## Properties
energy above the most stable polymorph in this dataset = 0 meV/atom
ρ = 4.06 Mg/m³
electronic total energy = -6.3188 eV/atom
total moment = 3.0 μB/cell